Entry 1:
PBE Ca2TlBi2, relaxed; total magnetization = 0.0 μB per formula unit; E = -3.328 eV/atom; SG = No. 11; ΔH_f (0 K) = -502 meV/atom
1.0
6.550 0.000 0.000
0.000 4.994 0.000
-1.899 0.000 10.479
Ca Tl Bi
4 2 4
direct
0.038 0.250 0.221
0.338 0.250 0.597
0.662 0.750 0.403
0.962 0.750 0.779
0.270 0.750 0.068
0.730 0.250 0.932
0.163 0.750 0.404
0.465 0.750 0.802
0.535 0.250 0.198
0.837 0.250 0.596

=====

Entry 2:
PBE Ac2LaNi3, relaxed; total magnetization = 0.0 μB per formula unit; E = -5.312 eV/atom; SG = No. 63; ΔH_f (0 K) = -230 meV/atom
1.0
7.078 -4.149 0.000
7.078 4.149 0.000
0.000 0.000 5.156
Ac La Ni
4 2 6
direct
0.007 0.667 0.750
0.333 0.993 0.750
0.667 0.007 0.250
0.993 0.333 0.250
0.343 0.657 0.250
0.657 0.343 0.750
0.000 0.000 0.000
0.000 0.000 0.500
0.337 0.337 0.000
0.337 0.337 0.500
0.663 0.663 0.000
0.663 0.663 0.500

=====

Entry 3:
PBE AlSbP2, relaxed; total magnetization = 0.0 μB per formula unit; E = -4.630 eV/atom; SG = No. 160; E_form (uncorrected) = 0.95 kcal/mol of atoms
1.0
1.929 1.114 7.878
-1.929 1.114 7.878
0.000 -2.228 7.878
Al Sb P
1 1 2
direct
0.000 0.000 0.000
0.202 0.202 0.202
0.476 0.476 0.476
0.688 0.688 0.688

=====

Entry 4:
PBE K2ZrPt, relaxed; total magnetization = 0.0 μB per formula unit; E = -3.625 eV/atom; SG = No. 65; ΔH_f (0 K) = 571 meV/atom
1.0
1.818 -2.431 0.000
1.818 2.431 0.000
0.000 0.000 12.072
K Zr Pt
2 1 1
direct
0.000 0.000 0.207
0.000 0.000 0.793
0.500 0.500 0.500
0.500 0.500 0.000

=====

Entry 5:
PBE HfPaCo2, relaxed; total magnetization = 0.0 μB per formula unit; E = -8.868 eV/atom; SG = No. 11; ΔH_f (0 K) = -452 meV/atom
1.0
5.454 0.000 0.000
0.000 3.848 0.000
-2.183 0.000 6.527
Hf Pa Co
2 2 4
direct
0.210 0.250 0.173
0.790 0.750 0.827
0.243 0.250 0.686
0.757 0.750 0.314
0.315 0.750 0.456
0.317 0.750 0.952
0.683 0.250 0.048
0.685 0.250 0.544

=====

Entry 6:
PBE LaPmPaIn, relaxed; total magnetization = 0.5 μB per formula unit; E = -5.347 eV/atom; SG = No. 216; ΔH_f (0 K) = 131 meV/atom
1.0
0.000 3.879 3.879
3.879 0.000 3.879
3.879 3.879 0.000
La Pm Pa In
1 1 1 1
direct
0.000 0.000 0.000
0.500 0.500 0.500
0.750 0.750 0.750
0.250 0.250 0.250

=====

Entry 7:
PBE NaInGaMo2, relaxed; total magnetization = 0.0 μB per formula unit; E = -4.578 eV/atom; SG = No. 123; ΔH_f (0 K) = 1171 meV/atom
1.0
4.738 0.000 0.000
0.000 4.738 0.000
0.000 0.000 4.821
Na In Ga Mo
1 1 1 2
direct
0.000 0.000 0.000
0.500 0.500 0.000
0.000 0.000 0.500
0.000 0.500 0.500
0.500 0.000 0.500

=====

Entry 8:
PBE YPa2Se4, relaxed; total magnetization = 2.3 μB per formula unit; E = -7.011 eV/atom; SG = No. 63; E_form (uncorrected) = -31.89 kcal/mol of atoms
1.0
1.934 -6.576 0.000
1.934 6.576 0.000
0.000 0.000 14.330
Y Pa Se
2 4 8
direct
0.109 0.891 0.750
0.891 0.109 0.250
0.354 0.646 0.563
0.354 0.646 0.937
0.646 0.354 0.063
0.646 0.354 0.437
0.000 0.000 0.000
0.000 0.000 0.500
0.291 0.709 0.131
0.291 0.709 0.369
0.445 0.555 0.750
0.555 0.445 0.250
0.709 0.291 0.631
0.709 0.291 0.869

=====

Entry 9:
PBE Na2AcBO4, relaxed; total magnetization = 0.0 μB per formula unit; E = -6.355 eV/atom; SG = No. 63; E_form (uncorrected) = -50.68 kcal/mol of atoms
1.0
2.004 -6.327 0.000
2.004 6.327 0.000
0.000 0.000 10.091
Na Ac B O
4 2 2 8
direct
0.123 0.877 0.544
0.123 0.877 0.956
0.877 0.123 0.044
0.877 0.123 0.456
0.467 0.533 0.750
0.533 0.467 0.250
0.249 0.751 0.250
0.751 0.249 0.750
0.059 0.941 0.750
0.241 0.759 0.125
0.241 0.759 0.375
0.500 0.500 0.000
0.500 0.500 0.500
0.759 0.241 0.625
0.759 0.241 0.875
0.941 0.059 0.250

=====

Entry 10:
PBE Ce5Lu3H12, relaxed; total magnetization = 4.3 μB per formula unit; E = -4.530 eV/atom; SG = No. 230
1.0
-6.540 6.540 6.540
6.540 -6.540 6.540
6.540 6.540 -6.540
Ce Lu H
20 12 48
direct
0.000 0.000 0.000
0.000 0.000 0.500
0.000 0.500 0.000
0.000 0.500 0.500
0.125 0.750 0.875
0.125 0.875 0.250
0.250 0.125 0.875
0.250 0.625 0.375
0.375 0.250 0.625
0.375 0.625 0.750
0.500 0.000 0.000
0.500 0.000 0.500
0.500 0.500 0.000
0.500 0.500 0.500
0.625 0.375 0.250
0.625 0.750 0.375
0.750 0.375 0.625
0.750 0.875 0.125
0.875 0.125 0.750
0.875 0.250 0.125
0.125 0.250 0.375
0.125 0.375 0.750
0.250 0.375 0.125
0.250 0.875 0.625
0.375 0.125 0.250
0.375 0.750 0.125
0.625 0.250 0.875
0.625 0.875 0.750
0.750 0.125 0.375
0.750 0.625 0.875
0.875 0.625 0.250
0.875 0.750 0.625
0.069 0.731 0.654
0.069 0.839 0.416
0.077 0.231 0.161
0.077 0.346 0.916
0.084 0.661 0.431
0.084 0.923 0.654
0.154 0.231 0.569
0.154 0.423 0.584
0.161 0.077 0.231
0.161 0.584 0.931
0.231 0.161 0.077
0.231 0.569 0.154
0.269 0.346 0.931
0.269 0.423 0.339
0.339 0.269 0.423
0.339 0.569 0.916
0.346 0.916 0.077
0.346 0.931 0.269
0.416 0.069 0.839
0.416 0.846 0.577
0.423 0.339 0.269
0.423 0.584 0.154
0.431 0.084 0.661
0.431 0.846 0.769
0.569 0.154 0.231
0.569 0.916 0.339
0.577 0.416 0.846
0.577 0.661 0.731
0.584 0.154 0.423
0.584 0.931 0.161
0.654 0.069 0.731
0.654 0.084 0.923
0.661 0.431 0.084
0.661 0.731 0.577
0.731 0.577 0.661
0.731 0.654 0.069
0.769 0.431 0.846
0.769 0.839 0.923
0.839 0.416 0.069
0.839 0.923 0.769
0.846 0.577 0.416
0.846 0.769 0.431
0.916 0.077 0.346
0.916 0.339 0.569
0.923 0.654 0.084
0.923 0.769 0.839
0.931 0.161 0.584
0.931 0.269 0.346

=====

Entry 11:
PBE La8CoRhAu2, relaxed; total magnetization = 0.0 μB per formula unit; E = -5.421 eV/atom; SG = No. 10; ΔH_f (0 K) = -385 meV/atom
1.0
6.451 0.000 0.000
0.000 8.556 0.000
-2.992 0.000 7.184
La Co Rh Au
8 1 1 2
direct
0.242 0.000 0.289
0.254 0.500 0.276
0.258 0.243 0.732
0.258 0.757 0.732
0.742 0.243 0.268
0.742 0.757 0.268
0.746 0.500 0.724
0.758 0.000 0.711
0.000 0.000 0.500
0.000 0.500 0.500
0.000 0.249 0.000
0.000 0.751 0.000

=====

Entry 12:
PBE MoAs2, relaxed; total magnetization = 0.0 μB per formula unit; E = -6.458 eV/atom; SG = No. 141; ΔH_f (0 K) = 252 meV/atom
1.0
-1.810 1.810 17.082
1.810 -1.810 17.082
1.810 1.810 -17.082
Mo As
4 8
direct
0.285 0.535 0.750
0.465 0.715 0.750
0.535 0.285 0.250
0.715 0.465 0.250
0.040 0.790 0.250
0.096 0.346 0.750
0.210 0.960 0.250
0.346 0.096 0.250
0.654 0.904 0.750
0.790 0.040 0.750
0.904 0.654 0.250
0.960 0.210 0.750

=====

Entry 13:
PBE Rb2CuTeCl6, relaxed; total magnetization = 0.8 μB per formula unit; E = -3.101 eV/atom; SG = No. 59; E_form (uncorrected) = -24.80 kcal/mol of atoms
1.0
7.488 0.000 0.000
0.000 10.816 0.000
0.000 0.000 7.490
Rb Cu Te Cl
4 2 2 12
direct
0.250 0.000 0.248
0.250 0.500 0.248
0.750 0.000 0.752
0.750 0.500 0.752
0.250 0.250 0.755
0.750 0.750 0.245
0.250 0.750 0.746
0.750 0.250 0.254
0.005 0.750 0.991
0.006 0.750 0.503
0.250 0.045 0.753
0.250 0.455 0.753
0.494 0.750 0.503
0.495 0.750 0.991
0.505 0.250 0.009
0.506 0.250 0.497
0.750 0.545 0.247
0.750 0.955 0.247
0.994 0.250 0.497
0.995 0.250 0.009

=====

Entry 14:
PBE ScPRh3, relaxed; total magnetization = 1.1 μB per formula unit; E = -5.674 eV/atom; SG = No. 221; ΔH_f (0 K) = 1085 meV/atom
1.0
4.626 0.000 0.000
0.000 4.626 0.000
0.000 0.000 4.626
Sc P Rh
1 1 3
direct
0.000 0.000 0.000
0.500 0.500 0.500
0.000 0.000 0.500
0.000 0.500 0.000
0.500 0.000 0.000

=====

Entry 15:
PBE Y8TlSb3Te4, relaxed; total magnetization = 0.0 μB per formula unit; E = -6.120 eV/atom; SG = No. 166; E_form (uncorrected) = -27.25 kcal/mol of atoms
1.0
4.389 2.534 7.170
-4.389 2.534 7.170
0.000 -5.068 7.170
Y Tl Sb Te
8 1 3 4
direct
0.246 0.246 0.246
0.250 0.744 0.744
0.256 0.256 0.750
0.256 0.750 0.256
0.744 0.250 0.744
0.744 0.744 0.250
0.750 0.256 0.256
0.754 0.754 0.754
0.500 0.500 0.500
0.000 0.000 0.500
0.000 0.500 0.000
0.500 0.000 0.000
0.000 0.000 0.000
0.000 0.500 0.500
0.500 0.000 0.500
0.500 0.500 0.000

=====

Entry 16:
PBE Nb2SnW, relaxed; total magnetization = 0.0 μB per formula unit; E = -9.056 eV/atom; SG = No. 166; ΔH_f (0 K) = 218 meV/atom
1.0
1.590 0.918 8.821
-1.590 0.918 8.821
0.000 -1.836 8.821
Nb Sn W
2 1 1
direct
0.242 0.242 0.242
0.758 0.758 0.758
0.000 0.000 0.000
0.500 0.500 0.500

=====

Entry 17:
PBE Pm6PrNd8, relaxed; total magnetization = 0.0 μB per formula unit; E = -4.620 eV/atom; SG = No. 148; ΔH_f (0 K) = 142 meV/atom
1.0
4.741 2.737 6.808
-4.741 2.737 6.808
0.000 -5.475 6.808
Pm Pr Nd
6 1 8
direct
0.056 0.764 0.607
0.236 0.393 0.944
0.393 0.944 0.236
0.607 0.056 0.764
0.764 0.607 0.056
0.944 0.236 0.393
0.500 0.500 0.500
0.072 0.072 0.072
0.158 0.583 0.272
0.272 0.158 0.583
0.417 0.728 0.842
0.583 0.272 0.158
0.728 0.842 0.417
0.842 0.417 0.728
0.928 0.928 0.928

=====

Entry 18:
PBE BeTc2Te, relaxed; total magnetization = 0.0 μB per formula unit; E = -6.437 eV/atom; SG = No. 160; E_form (uncorrected) = 10.68 kcal/mol of atoms
1.0
1.506 0.869 8.090
-1.506 0.869 8.090
0.000 -1.739 8.090
Be Tc Te
1 2 1
direct
0.000 0.000 0.000
0.485 0.485 0.485
0.738 0.738 0.738
0.244 0.244 0.244

=====

Entry 19:
PBE Ta2TlP, relaxed; total magnetization = 0.0 μB per formula unit; E = -7.450 eV/atom; SG = No. 47; ΔH_f (0 K) = 421 meV/atom
1.0
3.414 0.000 0.000
0.000 4.420 0.000
0.000 0.000 4.885
Ta Tl P
2 1 1
direct
0.000 0.000 0.000
0.500 0.000 0.500
0.000 0.500 0.500
0.500 0.500 0.000